No. 1
K2Li2Ag15: relaxed, PBE.

Calculated values
The calculation puts the size of the total moment at 0.0 μB per cell. For the energy of formation from the pure elements, the calculation gives -0.031 eV per atom. As for the space group: R-3m, No. 166.

Unit cell a=7.398 b=7.398 c=7.398 alpha=83.12 beta=83.12 gamma=83.12
Atoms (fractional coordinates):
Ag: 0.657 0.657 0.151
Ag: 0.343 0.343 0.849
Ag: 0.849 0.343 0.343
Ag: 0.000 0.298 0.702
Ag: 0.298 0.000 0.702
Ag: 0.000 0.000 0.500
Ag: 0.500 0.000 0.000
Ag: 0.702 0.000 0.298
Ag: 0.000 0.702 0.298
Ag: 0.151 0.657 0.657
Ag: 0.702 0.298 0.000
Ag: 0.000 0.500 0.000
Ag: 0.343 0.849 0.343
Ag: 0.657 0.151 0.657
Ag: 0.298 0.702 0.000
K: 0.346 0.346 0.346
K: 0.654 0.654 0.654
Li: 0.097 0.097 0.097
Li: 0.903 0.903 0.903

=====

No. 2
KLiAg2: relaxed, PBE.

Calculated values
The calculation puts the size of the total moment at 0.0 μB per cell. For the energy of formation from the pure elements, the calculation gives 0.057 eV per atom. As for the space group: P4mm, No. 99.

Unit cell a=3.588 b=3.588 c=7.837 alpha=90.00 beta=90.00 gamma=90.00
Atoms (fractional coordinates):
Ag: 0.000 0.000 0.996
Ag: 0.500 0.500 0.179
Li: 0.500 0.500 0.845
K: 0.000 0.000 0.481